MgAg2P: optimized geometry, PBE.

For the magnetic moment, the calculation gives 0.00 μB/cell. As for the space-group type: R-3m (166). Its volume is 71 Å³/f.u. The density of states at the Fermi level is 2.076 states/eV/f.u. As for the energy of formation from the pure elements: 0.15 eV per atom.

Cell lengths 3.0638, 3.0638, 26.3421 Å; angles 90.00, 90.00, 120.00 degrees
Closest atoms and distances in Å follow each position.
Atoms (fractional coordinates):
Mg  0.0000  0.0000  0.0000  6 Ag 2.90, 6 Mg 3.06
Mg  0.3333  0.6667  0.6667  6 Ag 2.90, 6 Mg 3.06
Mg  0.6667  0.3333  0.3333  6 Ag 2.90, 6 Mg 3.06
Ag  0.0000  0.0000  0.2461  3 P 2.74, 3 Mg 2.90, 6 Ag 3.06
Ag  0.0000  0.0000  0.7539  3 P 2.74, 3 Mg 2.90, 6 Ag 3.06
Ag  0.3333  0.6667  0.4206  3 P 2.74, 3 Mg 2.90, 6 Ag 3.06
Ag  0.3333  0.6667  0.9127  3 P 2.74, 3 Mg 2.90, 6 Ag 3.06
Ag  0.6667  0.3333  0.0873  3 P 2.74, 3 Mg 2.90, 6 Ag 3.06
Ag  0.6667  0.3333  0.5794  3 P 2.74, 3 Mg 2.90, 6 Ag 3.06
P  0.0000  0.0000  0.5000  6 Ag 2.74, 6 P 3.06
P  0.3333  0.6667  0.1667  6 Ag 2.74, 6 P 3.06
P  0.6667  0.3333  0.8333  6 Ag 2.74, 6 P 3.06

***

Mg2AgP2: optimized geometry, PBE.

For the magnetic moment, the calculation gives 0.00 μB/cell. As for the space-group type: I4/mmm (139). Its volume is 98 Å³/f.u. The density of states at the Fermi level is 1.457 states/eV/f.u. As for the energy of formation from the pure elements: -0.18 eV per atom.

Cell lengths 4.5425, 4.5425, 9.4646 Å; angles 90.00, 90.00, 90.00 degrees
Closest atoms and distances in Å follow each position.
Atoms (fractional coordinates):
Mg  0.0000  0.5000  0.2500  4 P 2.60
Mg  0.0000  0.5000  0.7500  4 P 2.60
Mg  0.5000  0.0000  0.2500  4 P 2.60
Mg  0.5000  0.0000  0.7500  4 P 2.60
Ag  0.0000  0.0000  0.0000  8 Mg 3.28, 10 P 3.40-3.63
Ag  0.5000  0.5000  0.5000  8 Mg 3.28, 10 P 3.40-3.63
P  0.0000  0.0000  0.3830  1 P 2.21
P  0.0000  0.0000  0.6170  1 P 2.21
P  0.5000  0.5000  0.1170  1 P 2.21
P  0.5000  0.5000  0.8830  1 P 2.21

***

MgAg2P: optimized geometry, PBE.

For the magnetic moment, the calculation gives 0.00 μB/cell. As for the space-group type: I4/mmm (139). Its volume is 70 Å³/f.u. The density of states at the Fermi level is 1.616 states/eV/f.u. As for the energy of formation from the pure elements: -0.05 eV per atom.

Cell lengths 3.9784, 3.9784, 8.8220 Å; angles 90.00, 90.00, 90.00 degrees
Closest atoms and distances in Å follow each position.
Atoms (fractional coordinates):
Mg  0.0000  0.0000  0.0000  4 P 2.81, 8 Ag 2.97
Mg  0.5000  0.5000  0.5000  4 P 2.81, 8 Ag 2.97
Ag  0.0000  0.5000  0.2500  4 Ag 2.81, 4 P 2.97, 4 Mg 2.97
Ag  0.0000  0.5000  0.7500  4 Ag 2.81, 4 Mg 2.97, 4 P 2.97
Ag  0.5000  0.0000  0.2500  4 Ag 2.81, 4 P 2.97, 4 Mg 2.97
Ag  0.5000  0.0000  0.7500  4 Ag 2.81, 4 Mg 2.97, 4 P 2.97
P  0.0000  0.0000  0.5000  4 Mg 2.81, 8 Ag 2.97
P  0.5000  0.5000  0.0000  4 Mg 2.81, 8 Ag 2.97

***

MgAgP2: optimized geometry, PBE.

For the magnetic moment, the calculation gives 0.00 μB/cell. As for the space-group type: Immm (71). Its volume is 69 Å³/f.u. The density of states at the Fermi level is 1.658 states/eV/f.u. As for the energy of formation from the pure elements: 0.17 eV per atom.

Cell lengths 4.0955, 4.4367, 7.5988 Å; angles 90.00, 90.00, 90.00 degrees
Closest atoms and distances in Å follow each position.
Atoms (fractional coordinates):
Mg  0.0000  0.0000  0.0000  8 P 2.80-2.92, 4 Ag 3.02
Mg  0.5000  0.5000  0.5000  8 P 2.80-2.92, 4 Ag 3.02
Ag  0.0000  0.0000  0.5000  8 P 2.79-2.93, 4 Mg 3.02
Ag  0.5000  0.5000  0.0000  8 P 2.79-2.93, 4 Mg 3.02
P  0.0000  0.5000  0.2489  4 Ag 2.79-2.93, 4 Mg 2.80-2.92, 4 P 3.02
P  0.0000  0.5000  0.7511  4 Ag 2.79-2.93, 4 Mg 2.80-2.92, 4 P 3.02
P  0.5000  0.0000  0.2511  4 Ag 2.79-2.93, 4 Mg 2.80-2.92, 4 P 3.02
P  0.5000  0.0000  0.7489  4 Ag 2.79-2.93, 4 Mg 2.80-2.92, 4 P 3.02

***

MgAgP2: optimized geometry, PBE.

For the magnetic moment, the calculation gives 0.00 μB/cell. As for the space-group type: C2/m (12). Its volume is 82 Å³/f.u. The density of states at the Fermi level is 0.452 states/eV/f.u. As for the energy of formation from the pure elements: -0.02 eV per atom.

Cell lengths 8.6069, 3.3593, 6.6871 Å; angles 90.00, 122.14, 90.00 degrees
Closest atoms and distances in Å follow each position.
Atoms (fractional coordinates):
Mg  0.0000  0.0000  0.0000  6 P 2.61-2.66
Mg  0.5000  0.5000  0.0000  6 P 2.61-2.66
Ag  0.0000  0.0000  0.5000  4 P 2.56
Ag  0.5000  0.5000  0.5000  4 P 2.56
P  0.1498  0.5000  0.8410  2 P 2.53, 2 Ag 2.56, 3 Mg 2.61-2.66
P  0.3502  0.0000  0.1590  2 P 2.53, 2 Ag 2.56, 3 Mg 2.61-2.66
P  0.6498  0.0000  0.8410  2 P 2.53, 2 Ag 2.56, 3 Mg 2.61-2.66
P  0.8502  0.5000  0.1590  2 P 2.53, 2 Ag 2.56, 3 Mg 2.61-2.66

***

MgAg2P: optimized geometry, PBE.

For the magnetic moment, the calculation gives 0.00 μB/cell. As for the space-group type: Cm (8). Its volume is 79 Å³/f.u. The density of states at the Fermi level is 0.700 states/eV/f.u. As for the energy of formation from the pure elements: 0.02 eV per atom.

Cell lengths 8.6407, 2.9454, 6.8286 Å; angles 90.00, 114.67, 90.00 degrees
Closest atoms and distances in Å follow each position.
Atoms (fractional coordinates):
Mg  0.0000  0.0000  0.0000  3 P 2.60-2.63, 3 Ag 2.83-2.88
Mg  0.5000  0.5000  0.0000  3 P 2.60-2.63, 3 Ag 2.83-2.88
Ag  0.1936  0.0000  0.7533  5 Ag 2.77-2.95, 3 Mg 2.83-2.88, 2 P 2.99
Ag  0.3869  0.0000  0.5158  2 P 2.63, 3 Ag 2.77-2.87
Ag  0.6936  0.5000  0.7533  5 Ag 2.77-2.95, 3 Mg 2.83-2.88, 2 P 2.99
Ag  0.8869  0.5000  0.5158  2 P 2.63, 3 Ag 2.77-2.87
P  0.2776  0.5000  0.1655  3 Mg 2.60-2.63, 2 Ag 2.63
P  0.7776  0.0000  0.1655  3 Mg 2.60-2.63, 2 Ag 2.63

***

MgAgP4: optimized geometry, PBE.

For the magnetic moment, the calculation gives 0.00 μB/cell. As for the space-group type: F-43m (216). Its volume is 98 Å³/f.u. The density of states at the Fermi level is 1.209 states/eV/f.u. As for the energy of formation from the pure elements: 0.37 eV per atom.

Cell lengths 5.1805, 5.1805, 5.1805 Å; angles 60.00, 60.00, 60.00 degrees
Closest atoms and distances in Å follow each position.
Atoms (fractional coordinates):
Mg  0.0000  0.0000  0.0000  12 P 3.04, 4 Ag 3.17
Ag  0.7500  0.7500  0.7500  12 P 3.04, 4 Mg 3.17
P  0.3753  0.3753  0.3753  6 P 2.58-2.60
P  0.3753  0.3753  0.8742  6 P 2.58-2.60
P  0.3753  0.8742  0.3753  6 P 2.58-2.60
P  0.8742  0.3753  0.3753  6 P 2.58-2.60

***

MgAg2P: optimized geometry, PBE.

For the magnetic moment, the calculation gives 0.00 μB/cell. As for the space-group type: Cmmm (65). Its volume is 71 Å³/f.u. The density of states at the Fermi level is 1.441 states/eV/f.u. As for the energy of formation from the pure elements: 0.11 eV per atom.

Cell lengths 5.6185, 8.2965, 3.0591 Å; angles 90.00, 90.00, 90.00 degrees
Closest atoms and distances in Å follow each position.
Atoms (fractional coordinates):
Mg  0.0000  0.0000  0.0000  2 P 2.81, 8 Ag 2.94, 2 Mg 3.06
Mg  0.5000  0.5000  0.0000  2 P 2.81, 8 Ag 2.94, 2 Mg 3.06
Ag  0.2500  0.2500  0.5000  4 Ag 2.81-3.06, 4 P 2.94, 4 Mg 2.94
Ag  0.2500  0.7500  0.5000  4 Ag 2.81-3.06, 4 P 2.94, 4 Mg 2.94
Ag  0.7500  0.2500  0.5000  4 Ag 2.81-3.06, 4 Mg 2.94, 4 P 2.94
Ag  0.7500  0.7500  0.5000  4 Ag 2.81-3.06, 4 P 2.94, 4 Mg 2.94
P  0.0000  0.5000  0.0000  2 Mg 2.81, 8 Ag 2.94, 2 P 3.06
P  0.5000  0.0000  0.0000  2 Mg 2.81, 8 Ag 2.94, 2 P 3.06